1.
This record from Alexandria describes crystalline BeFeIr2 at its relaxed geometry. The functional is PBE.

Properties
* energy: -0.5545 Ry/atom
* energy relative to the elements: -0.27 eV per formula unit

Cell lengths 2.6726, 2.6726, 8.1041 Å; angles 90.00, 90.00, 116.99 degrees
Element x y z (fractional)
1 Be 0.0000 0.0000 0.0000
2 Fe 0.0000 0.0000 0.5000
3 Ir 0.5000 0.5000 0.2282
4 Ir 0.5000 0.5000 0.7718

---

2.
This record from Alexandria describes crystalline MgRhSCl2 at its relaxed geometry. The functional is PBE.

Properties
* energy: -0.2484 Ry/atom
* formation energy (no corrections): -0.027 eV/atom

Cell lengths 4.7174, 4.7174, 5.0347 Å; angles 90.00, 90.00, 90.00 degrees
Element x y z (fractional)
1 Mg 0.0000 0.0000 0.0000
2 Rh 0.5000 0.5000 0.5000
3 S 0.0000 0.0000 0.5000
4 Cl 0.0000 0.5000 0.0000
5 Cl 0.5000 0.0000 0.0000

---

3.
This record from Alexandria describes crystalline KInRh at its relaxed geometry. The functional is PBE.

Properties
* energy: -0.1923 Ry/atom
* energy relative to the elements: 3.34 eV per formula unit

Cell lengths 4.9594, 4.9594, 4.9594 Å; angles 60.00, 60.00, 60.00 degrees
Element x y z (fractional)
1 K 0.0000 0.0000 0.0000
2 In 0.7500 0.7500 0.7500
3 Rh 0.2500 0.2500 0.2500

---

4.
This record from Alexandria describes crystalline Sn3PdRh5 at its relaxed geometry. The functional is PBE.

Properties
* energy: -0.4680 Ry/atom
* energy relative to the elements: -3.35 eV per formula unit

Cell lengths 7.8151, 7.8151, 5.5837 Å; angles 90.00, 90.00, 120.00 degrees
Element x y z (fractional)
1 Sn 0.0000 0.3469 0.2500
2 Sn 0.0000 0.6531 0.7500
3 Sn 0.3469 0.0000 0.2500
4 Sn 0.3469 0.3469 0.7500
5 Sn 0.6531 0.0000 0.7500
6 Sn 0.6531 0.6531 0.2500
7 Pd 0.0000 0.0000 0.0000
8 Pd 0.0000 0.0000 0.5000
9 Rh 0.0000 0.3216 0.7500
10 Rh 0.0000 0.6784 0.2500
11 Rh 0.3216 0.0000 0.7500
12 Rh 0.3216 0.3216 0.2500
13 Rh 0.3333 0.6667 0.0000
14 Rh 0.3333 0.6667 0.5000
15 Rh 0.6667 0.3333 0.0000
16 Rh 0.6667 0.3333 0.5000
17 Rh 0.6784 0.0000 0.2500
18 Rh 0.6784 0.6784 0.7500

---

5.
This record from Alexandria describes crystalline AlGe2B4 at its relaxed geometry. The functional is PBE.

Properties
* energy: -0.3008 Ry/atom
* energy relative to the elements: 11.04 eV per formula unit

Cell lengths 6.4593, 6.4593, 6.4593 Å; angles 142.46, 142.46, 54.13 degrees
Element x y z (fractional)
1 Al 0.0000 0.0000 0.0000
2 Ge 0.3717 0.3717 0.0000
3 Ge 0.6283 0.6283 0.0000
4 B 0.0000 0.5000 0.5000
5 B 0.1925 0.1925 0.0000
6 B 0.5000 0.0000 0.5000
7 B 0.8075 0.8075 0.0000

---

6.
This record from Alexandria describes crystalline CaIn at its relaxed geometry. The functional is PBE.

Properties
* energy: -0.1863 Ry/atom
* energy relative to the elements: -0.33 eV per formula unit

Cell lengths 6.3547, 6.3547, 6.4923 Å; angles 90.00, 90.00, 90.00 degrees
Element x y z (fractional)
1 Ca 0.1922 0.1922 0.0000
2 Ca 0.3078 0.6922 0.5000
3 Ca 0.6922 0.3078 0.5000
4 Ca 0.8078 0.8078 0.0000
5 In 0.1775 0.1775 0.5000
6 In 0.3225 0.6775 0.0000
7 In 0.6775 0.3225 0.0000
8 In 0.8225 0.8225 0.5000

---

7.
This record from Alexandria describes crystalline K2Rb2In at its relaxed geometry. The functional is PBE.

Properties
* energy: -0.0901 Ry/atom
* energy relative to the elements: 0.74 eV per formula unit

Cell lengths 9.7482, 9.7482, 6.9875 Å; angles 90.00, 90.00, 90.00 degrees
Element x y z (fractional)
1 K 0.1830 0.3170 0.0000
2 K 0.3170 0.8170 0.0000
3 K 0.6830 0.1830 0.0000
4 K 0.8170 0.6830 0.0000
5 Rb 0.1507 0.6507 0.5000
6 Rb 0.3493 0.1507 0.5000
7 Rb 0.6507 0.8493 0.5000
8 Rb 0.8493 0.3493 0.5000
9 In 0.0000 0.0000 0.5000
10 In 0.5000 0.5000 0.5000

---

8.
This record from Alexandria describes crystalline PmNd3Tm5 at its relaxed geometry. The functional is PBE.

Properties
* energy: -0.3000 Ry/atom
* energy relative to the elements: 4.68 eV per formula unit

Cell lengths 9.5004, 9.5004, 10.0477 Å; angles 121.74, 121.74, 72.03 degrees
Element x y z (fractional)
1 Pm 0.2469 0.2469 0.0919
2 Pm 0.7531 0.7531 0.9081
3 Nd 0.0000 0.0000 0.0000
4 Nd 0.0277 0.0277 0.6876
5 Nd 0.4905 0.4905 0.7863
6 Nd 0.5000 0.5000 0.5000
7 Nd 0.5095 0.5095 0.2137
8 Nd 0.9723 0.9723 0.3124
9 Tm 0.0898 0.5940 0.4386
10 Tm 0.2223 0.2223 0.4101
11 Tm 0.2605 0.7395 0.0000
12 Tm 0.2874 0.2874 0.7959
13 Tm 0.4060 0.9102 0.5614
14 Tm 0.5940 0.0898 0.4386
15 Tm 0.7126 0.7126 0.2041
16 Tm 0.7395 0.2605 0.0000
17 Tm 0.7777 0.7777 0.5899
18 Tm 0.9102 0.4060 0.5614

---

9.
This record from Alexandria describes crystalline Ni2HgCl at its relaxed geometry. The functional is PBE.

Properties
* energy: -0.2422 Ry/atom
* formation energy (no corrections): 0.132 eV/atom

Cell lengths 3.8375, 3.0008, 6.1443 Å; angles 90.00, 90.15, 90.00 degrees
Element x y z (fractional)
1 Ni 0.0008 0.0000 0.2002
2 Ni 0.9992 0.0000 0.7998
3 Hg 0.5000 0.5000 0.0000
4 Cl 0.0000 0.5000 0.5000

---

10.
This record from Alexandria describes crystalline TiTe2O at its relaxed geometry. The functional is PBE.

Properties
* energy: -0.3221 Ry/atom
* formation energy (no corrections): 0.402 eV/atom

Cell lengths 9.2560, 9.2560, 9.2560 Å; angles 20.17, 20.17, 20.17 degrees
Element x y z (fractional)
1 Ti 0.0000 0.0000 0.0000
2 Te 0.1014 0.1014 0.1014
3 Te 0.8986 0.8986 0.8986
4 O 0.5000 0.5000 0.5000

---

11.
This record from Alexandria describes crystalline SrPt3S at its relaxed geometry. The functional is PBE.

Properties
* energy: -0.2156 Ry/atom
* formation energy (no corrections): 1.854 eV/atom

Cell lengths 5.2143, 5.2143, 5.2143 Å; angles 90.00, 90.00, 90.00 degrees
Element x y z (fractional)
1 Sr 0.0000 0.0000 0.0000
2 Pt 0.0000 0.0000 0.5000
3 Pt 0.0000 0.5000 0.0000
4 Pt 0.5000 0.0000 0.0000
5 S 0.5000 0.5000 0.5000

---

12.
This record from Alexandria describes crystalline MgIn2Br4 at its relaxed geometry. The functional is PBE.

Properties
* energy: -0.2178 Ry/atom
* formation energy (no corrections): -0.997 eV/atom

Cell lengths 9.2416, 12.3950, 4.1099 Å; angles 90.00, 90.00, 90.00 degrees
Element x y z (fractional)
1 Mg 0.0000 0.0000 0.0000
2 Mg 0.5000 0.5000 0.0000
3 In 0.1098 0.3152 0.5000
4 In 0.3902 0.8152 0.5000
5 In 0.6098 0.1848 0.5000
6 In 0.8902 0.6848 0.5000
7 Br 0.1221 0.8048 0.0000
8 Br 0.1798 0.0652 0.5000
9 Br 0.3202 0.5652 0.5000
10 Br 0.3779 0.3048 0.0000
11 Br 0.6221 0.6952 0.0000
12 Br 0.6798 0.4348 0.5000
13 Br 0.8202 0.9348 0.5000
14 Br 0.8779 0.1952 0.0000

---

Look up the energy of the seventh one.
-0.0901 Ry/atom